# GGA-PBEsol TcPd3S, relaxed
# Symmetry: Pm-3m, No. 221
# Magnetic moment, μB per cell: 4.3
# E_form (uncorrected), eV/f.u.: 2.58
data_TcPd3S
_cell_length_a 4.4065
_cell_length_b 4.4065
_cell_length_c 4.4065
_cell_angle_alpha 90.00
_cell_angle_beta 90.00
_cell_angle_gamma 90.00
_space_group_name_H-M_alt 'P 1'
_space_group_IT_number 1
loop_
_space_group_symop_operation_xyz
'x,y,z'
loop_
_atom_site_label
_atom_site_type_symbol
_atom_site_fract_x
_atom_site_fract_y
_atom_site_fract_z
_atom_site_occupancy
Tc1 Tc 0.0000 0.0000 0.0000 1
Pd1 Pd 0.0000 0.5000 0.5000 1
Pd2 Pd 0.5000 0.0000 0.5000 1
Pd3 Pd 0.5000 0.5000 0.0000 1
S1 S 0.5000 0.5000 0.5000 1

***

# GGA-PBEsol Li2TlIn, relaxed
# Symmetry: I-4m2, No. 119
# Calculated formation energy, eV per atom: -0.25
# Magnetic moment, μB per cell: 0.0
data_Li2TlIn
_cell_length_a 4.9017
_cell_length_b 4.9017
_cell_length_c 4.9017
_cell_angle_alpha 121.42
_cell_angle_beta 121.42
_cell_angle_gamma 87.55
_space_group_name_H-M_alt 'P 1'
_space_group_IT_number 1
loop_
_space_group_symop_operation_xyz
'x,y,z'
loop_
_atom_site_label
_atom_site_type_symbol
_atom_site_fract_x
_atom_site_fract_y
_atom_site_fract_z
_atom_site_occupancy
Li1 Li 0.0000 0.0000 0.0000 1
Li2 Li 0.7500 0.2500 0.5000 1
Tl1 Tl 0.5000 0.5000 0.0000 1
In1 In 0.2500 0.7500 0.5000 1

***

no.,volume (Å³/atom)
1,17.11
2,20.35